This record from Alexandria describes Hf3Mg2Cd2 after structural relaxation. The functional is PBE.

a = 13.289 Å, b = 13.289 Å, c = 3.748 Å
α = 90.00°, β = 90.00°, γ = 165.94°
Fractional coordinates of all 7 atoms:
Hf: 0.000 0.000 0.000
Hf: 0.434 0.566 0.500
Hf: 0.566 0.434 0.500
Mg: 0.300 0.700 0.500
Mg: 0.700 0.300 0.500
Cd: 0.135 0.865 0.000
Cd: 0.865 0.135 0.000

Values from the calculation:
**E_form**: 0.31 eV/f.u.
**Total DFT energy (no corrections)**: -34.6 eV/f.u.
**V**: 22.965 A^3/atom

=====

This record from Alexandria describes HfMgCd3 after structural relaxation. The functional is PBE.

a = 5.566 Å, b = 5.566 Å, c = 5.566 Å
α = 90.00°, β = 90.00°, γ = 90.00°
Fractional coordinates of all 5 atoms:
Hf: 0.000 0.000 0.000
Mg: 0.500 0.500 0.500
Cd: 0.000 0.000 0.500
Cd: 0.000 0.500 0.000
Cd: 0.500 0.000 0.000

Values from the calculation:
**E_form**: 4.40 eV/f.u.
**Total DFT energy (no corrections)**: -9.9 eV/f.u.
**V**: 34.493 A^3/atom

=====

This record from Alexandria describes HfMg3Cd12 after structural relaxation. The functional is PBE.

a = 4.475 Å, b = 4.475 Å, c = 17.349 Å
α = 90.00°, β = 90.00°, γ = 90.00°
Fractional coordinates of all 16 atoms:
Hf: 0.000 0.000 0.000
Mg: 0.000 0.000 0.246
Mg: 0.000 0.000 0.500
Mg: 0.000 0.000 0.754
Cd: 0.000 0.500 0.123
Cd: 0.000 0.500 0.373
Cd: 0.000 0.500 0.627
Cd: 0.000 0.500 0.877
Cd: 0.500 0.000 0.123
Cd: 0.500 0.000 0.373
Cd: 0.500 0.000 0.627
Cd: 0.500 0.000 0.877
Cd: 0.500 0.500 0.000
Cd: 0.500 0.500 0.249
Cd: 0.500 0.500 0.500
Cd: 0.500 0.500 0.751

Values from the calculation:
**E_form**: -0.60 eV/f.u.
**Total DFT energy (no corrections)**: -26.3 eV/f.u.
**V**: 21.715 A^3/atom

=====

This record from Alexandria describes Hf2Mg2Cd after structural relaxation. The functional is PBE.

a = 12.814 Å, b = 12.814 Å, c = 5.383 Å
α = 94.05°, β = 94.05°, γ = 14.77°
Fractional coordinates of all 10 atoms:
Hf: 0.047 0.047 0.189
Hf: 0.452 0.452 0.309
Hf: 0.548 0.548 0.691
Hf: 0.953 0.953 0.811
Mg: 0.252 0.252 0.253
Mg: 0.350 0.350 0.913
Mg: 0.650 0.650 0.087
Mg: 0.748 0.748 0.747
Cd: 0.150 0.150 0.579
Cd: 0.850 0.850 0.421

Values from the calculation:
**E_form**: -0.14 eV/f.u.
**Total DFT energy (no corrections)**: -24.2 eV/f.u.
**V**: 22.484 A^3/atom

=====

This record from Alexandria describes Hf2MgCd after structural relaxation. The functional is PBE.

a = 6.353 Å, b = 6.353 Å, c = 6.353 Å
α = 101.35°, β = 101.35°, γ = 127.34°
Fractional coordinates of all 8 atoms:
Hf: 0.117 0.625 0.992
Hf: 0.375 0.367 0.492
Hf: 0.633 0.125 0.008
Hf: 0.875 0.883 0.508
Mg: 0.250 0.750 0.500
Mg: 0.500 0.500 0.000
Cd: 0.000 0.000 0.000
Cd: 0.750 0.250 0.500

Values from the calculation:
**E_form**: 2.09 eV/f.u.
**Total DFT energy (no corrections)**: -20.3 eV/f.u.
**V**: 22.843 A^3/atom

=====

This record from Alexandria describes Hf2MgCd after structural relaxation. The functional is PBE.

a = 11.542 Å, b = 11.542 Å, c = 11.542 Å
α = 15.08°, β = 15.08°, γ = 15.08°
Fractional coordinates of all 4 atoms:
Hf: 0.089 0.089 0.089
Hf: 0.911 0.911 0.911
Mg: 0.000 0.000 0.000
Cd: 0.500 0.500 0.500

Values from the calculation:
**E_form**: 1.13 eV/f.u.
**Total DFT energy (no corrections)**: -21.3 eV/f.u.
**V**: 22.655 A^3/atom